VASP calculation (PBE with a Hubbard U) on an optimized crystal structure of Na3Mn2PdO6.

Calculated values
For the density, the calculation gives 4.578 g/cm3. The calculation puts the total energy at -0.216 Ha/atom.

The structure in CIF format:
```
data_Na3Mn2PdO6
_chemical_formula_sum 'Na6 Mn4 Pd2 O12'
_cell_length_a 5.751
_cell_length_b 8.930
_cell_length_c 5.837
_cell_angle_alpha 90.00
_cell_angle_beta 112.70
_cell_angle_gamma 90.00
_space_group_name_H-M_alt 'C 1 2/m 1'
_space_group_IT_number 12
_space_group_name_Hall '-C 2y'
loop_
_atom_site_label
_atom_site_fract_x
_atom_site_fract_y
_atom_site_fract_z
Na1 0.000 0.000 0.000
Na2 0.000 0.336 0.000
Mn1 0.000 0.166 0.500
Pd1 0.000 0.500 0.500
O1 0.202 0.000 0.706
O2 0.214 0.325 0.710
```